A plane-wave DFT calculation with PBE was carried out for crystalline RbPdN3 at its relaxed geometry.

It has space group Pm-3m (No. 221), with a = 4.272 Å, b = 4.272 Å, c = 4.272 Å, α = 90.00°, β = 90.00° and γ = 90.00°. Symmetry generates all atoms from Rb at (0.000, 0.000, 0.000), Pd at (0.500, 0.500, 0.500) and N at (0.000, 0.000, 0.500).

The calculation puts the total magnetization at 0.01 μB/f.u. The value obtained for the uncorrected formation energy is 3.67 eV per atom.